No. 1
meta-GGA SCAN SrB2Ir2, PBEsol geometry; electronic total energy = -36.6134 eV/atom; total moment = 0.00 μB per atom; formation enthalpy at 0 K = -0.7469 eV per atom
1.0
0.0000 4.6810 5.3512
3.0188 0.0000 5.3512
3.0188 4.6810 0.0000
Sr B Ir
2 4 4
Cartesian
0.7547 1.1703 1.3378
5.2829 8.1918 9.3646
2.2641 1.8732 4.0134
3.7735 4.2137 6.6890
2.2641 5.1483 4.0134
3.7735 7.4889 6.6890
2.2641 3.5108 2.6188
3.7735 5.8513 5.2944
2.2641 3.5108 5.4080
3.7735 5.8513 8.0836

No. 2
meta-GGA SCAN Ba3MoO6, PBEsol geometry; E_form (uncorrected) = -2678 meV/atom; electronic total energy = -21.7707 eV/atom; total moment = 0.00 μB per atom
1.0
0.0000 4.4111 4.4111
4.4111 0.0000 4.4111
4.4111 4.4111 0.0000
Ba Mo O
3 1 6
Cartesian
0.0000 0.0000 0.0000
2.2055 2.2055 2.2055
6.6166 6.6166 6.6166
4.4111 4.4111 4.4111
4.4111 4.4111 2.4991
4.4111 2.4991 4.4111
6.3230 4.4111 4.4111
2.4991 4.4111 4.4111
4.4111 6.3230 4.4111
4.4111 4.4111 6.3230

No. 3
meta-GGA SCAN CdCu2Mo, PBEsol geometry; electronic total energy = -23.6133 eV/atom; total moment = 0.00 μB per atom; formation enthalpy at 0 K = 0.3113 eV per atom
1.0
2.6751 0.0000 0.0000
0.0000 3.7067 0.0000
0.0000 0.0000 5.8119
Cd Cu Mo
1 2 1
Cartesian
0.0000 0.0000 0.0000
1.3376 1.8533 1.5876
1.3376 1.8533 4.2243
0.0000 0.0000 2.9059

No. 4
meta-GGA SCAN YMnOs, PBEsol geometry; electronic total energy = -39.1314 eV/atom; total moment = 1.35 μB per atom; formation enthalpy at 0 K = 0.1946 eV per atom; polymorph energy (0 for the lowest one) = 0.000 eV/f.u.
1.0
6.2583 0.0000 0.0000
0.0000 6.2583 0.0000
0.0000 0.0000 6.2583
Y Mn Os
4 4 4
Cartesian
0.0000 0.0000 0.0000
0.0000 3.1292 3.1292
3.1292 0.0000 3.1292
3.1292 3.1292 0.0000
0.0000 0.0000 3.1292
0.0000 3.1292 0.0000
3.1292 0.0000 0.0000
3.1292 3.1292 3.1292
1.5646 1.5646 1.5646
1.5646 4.6937 4.6937
4.6937 1.5646 4.6937
4.6937 4.6937 1.5646

No. 5
meta-GGA SCAN Fe2PCl, PBEsol geometry; E_form (uncorrected) = 756 meV/atom; electronic total energy = -12.9027 eV/atom; total moment = 1.52 μB per atom
1.0
6.0106 0.0000 0.0000
0.0000 6.0106 0.0000
0.0000 0.0000 6.0106
Fe P Cl
8 4 4
Cartesian
0.0000 0.0000 0.0000
0.0000 3.0053 3.0053
1.5026 1.5026 1.5026
1.5026 4.5079 4.5079
3.0053 0.0000 3.0053
3.0053 3.0053 0.0000
4.5079 1.5026 4.5079
4.5079 4.5079 1.5026
1.5026 1.5026 4.5079
1.5026 4.5079 1.5026
4.5079 1.5026 1.5026
4.5079 4.5079 4.5079
0.0000 0.0000 3.0053
0.0000 3.0053 0.0000
3.0053 0.0000 0.0000
3.0053 3.0053 3.0053

No. 6
meta-GGA SCAN Cs2ZrZn, PBEsol geometry; electronic total energy = -28.7931 eV/atom; total moment = 1.18 μB per atom; formation enthalpy at 0 K = 1.1657 eV per atom
1.0
8.6938 0.0000 0.0000
0.0000 8.6938 0.0000
0.0000 0.0000 8.6938
Cs Zr Zn
8 4 4
Cartesian
2.1734 2.1734 2.1734
2.1734 2.1734 6.5203
2.1734 6.5203 2.1734
2.1734 6.5203 6.5203
6.5203 2.1734 2.1734
6.5203 2.1734 6.5203
6.5203 6.5203 2.1734
6.5203 6.5203 6.5203
0.0000 0.0000 0.0000
0.0000 4.3469 4.3469
4.3469 0.0000 4.3469
4.3469 4.3469 0.0000
0.0000 0.0000 4.3469
0.0000 4.3469 0.0000
4.3469 0.0000 0.0000
4.3469 4.3469 4.3469

No. 7
meta-GGA SCAN LaI2OF, PBEsol geometry; E_form (uncorrected) = -693 meV/atom; electronic total energy = -25.9653 eV/atom; total moment = 0.35 μB per atom
1.0
4.9700 0.0000 0.0000
0.0000 4.9700 0.0000
0.0000 0.0000 4.5793
La I O F
1 2 1 1
Cartesian
0.0000 0.0000 0.0000
0.0000 2.4850 2.2897
2.4850 0.0000 2.2897
2.4850 2.4850 0.0000
2.4850 2.4850 2.2897

No. 8
meta-GGA SCAN CdNiAs, PBEsol geometry; electronic total energy = -22.0743 eV/atom; total moment = 0.00 μB per atom; formation enthalpy at 0 K = 0.1851 eV per atom
1.0
5.9712 0.0000 0.0000
0.0000 5.9712 0.0000
0.0000 0.0000 5.9712
Cd Ni As
4 4 4
Cartesian
0.0000 0.0000 0.0000
0.0000 2.9856 2.9856
2.9856 0.0000 2.9856
2.9856 2.9856 0.0000
0.0000 0.0000 2.9856
0.0000 2.9856 0.0000
2.9856 0.0000 0.0000
2.9856 2.9856 2.9856
1.4928 1.4928 1.4928
1.4928 4.4784 4.4784
4.4784 1.4928 4.4784
4.4784 4.4784 1.4928

No. 9
meta-GGA SCAN Ta4Mo3, PBEsol geometry; electronic total energy = -53.1266 eV/atom; total moment = 0.00 μB per atom; formation enthalpy at 0 K = -0.1281 eV per atom; polymorph energy (0 for the lowest one) = 0.149 eV/f.u.
1.0
2.2652 1.3078 6.4798
-2.2652 1.3078 6.4798
0.0000 -2.6156 6.4798
Ta Mo
4 3
Cartesian
0.0000 0.0000 0.0000
0.0000 0.0000 2.8041
0.0000 0.0000 11.1566
0.0000 0.0000 16.6268
0.0000 0.0000 5.5909
0.0000 0.0000 8.2882
0.0000 0.0000 13.9303

No. 10
meta-GGA SCAN LiNbCrSn2, PBEsol geometry; electronic total energy = -24.6237 eV/atom; total moment = 0.58 μB per atom; formation enthalpy at 0 K = 0.5256 eV per atom
1.0
5.3480 0.0000 0.0000
0.0000 5.3480 0.0000
0.0000 0.0000 4.6592
Li Nb Cr Sn
1 1 1 2
Cartesian
0.0000 0.0000 0.0000
2.6740 2.6740 2.3296
2.6740 2.6740 0.0000
0.0000 2.6740 2.3296
2.6740 0.0000 2.3296

No. 11
meta-GGA SCAN NiPtBr2, PBEsol geometry; E_form (uncorrected) = 427 meV/atom; electronic total energy = -30.8940 eV/atom; total moment = 0.32 μB per atom; polymorph energy (0 for the lowest one) = 0.000 eV/f.u.
1.0
3.2959 0.0000 0.0000
0.0000 3.8064 0.0000
0.0000 0.0000 6.2019
Ni Pt Br
1 1 2
Cartesian
0.0000 0.0000 0.0000
1.6480 0.0000 3.1009
0.0000 1.9032 3.1009
1.6480 1.9032 0.0000

No. 12
meta-GGA SCAN HoAl3Cl12, PBEsol geometry; E_form (uncorrected) = -1894 meV/atom; electronic total energy = -12.3924 eV/atom; total moment = 0.00 μB per atom
1.0
10.5756 0.0000 0.0000
-5.2878 9.1587 0.0000
0.0000 0.0000 15.7738
Ho Al Cl
3 9 36
Cartesian
-2.5082 4.6577 0.0000
2.5082 4.6577 5.2579
0.0000 9.0020 10.5159
0.0000 4.9926 2.6290
-0.9641 6.6624 13.1448
3.1305 1.2089 4.2361
2.6122 2.1066 11.5377
0.9641 6.6624 7.8869
7.4451 1.2089 1.0219
4.7695 5.8432 14.7519
7.9634 2.1066 9.4940
5.8061 5.8432 6.2798
1.6574 0.0902 3.2533
0.9068 1.3902 12.5205
-0.8474 4.5453 13.4568
-1.7751 6.1522 2.3170
-0.0025 3.7965 0.8376
0.0025 3.7965 4.4203
-1.9987 7.2626 11.3535
-2.0012 7.2583 14.9362
0.8474 4.5453 7.5749
-0.9277 7.6199 8.1989
2.9957 1.0132 9.6548
2.3753 2.0877 6.1190
4.9820 0.2866 4.5793
2.7393 4.1712 11.1945
4.4483 1.3735 12.5539
3.4136 3.1656 3.2199
1.7751 6.1522 2.9410
0.9277 7.6199 12.8328
5.5935 0.2866 0.6787
3.0450 4.7008 15.0951
2.0012 7.2583 6.0955
1.9987 7.2626 9.6783
6.1273 1.3735 8.4778
4.2531 4.6197 7.2960
7.5799 1.0132 11.3769
4.6674 6.0577 4.3969
8.9182 0.0902 2.0046
4.5372 7.6782 13.7692
7.1620 3.1656 2.0381
6.3225 4.6197 13.7357
8.2002 2.0877 14.9128
5.9081 6.0577 0.8610
7.8363 4.1712 9.8372
7.5306 4.7008 5.9366
9.6687 1.3902 8.5112
6.0383 7.6782 7.2626

No. 13
meta-GGA SCAN BeReHg2, PBEsol geometry; electronic total energy = -52.4066 eV/atom; total moment = 0.14 μB per atom; formation enthalpy at 0 K = 0.5391 eV per atom
1.0
3.0361 0.0000 0.0000
0.0000 3.3290 0.0000
0.0000 0.0000 13.6747
Be Re Hg
2 2 4
Cartesian
0.0000 0.0000 0.0000
1.5181 1.6645 6.8373
0.0000 0.0000 6.8373
1.5181 1.6645 0.0000
0.0000 1.6645 2.3592
0.0000 1.6645 11.3155
1.5181 0.0000 4.4782
1.5181 0.0000 9.1965

No. 14
meta-GGA SCAN CoMo2, PBEsol geometry; electronic total energy = -28.9173 eV/atom; total moment = 0.00 μB per atom; formation enthalpy at 0 K = 0.1076 eV per atom
1.0
5.8708 0.0000 0.0000
0.0000 5.8708 0.0000
0.0000 0.0000 4.7214
Co Mo
4 8
Cartesian
0.0000 0.0000 1.1803
0.0000 0.0000 3.5410
2.9354 2.9354 1.1803
2.9354 2.9354 3.5410
0.9179 2.0175 0.0000
0.9179 3.8533 2.3607
2.0175 0.9179 2.3607
2.0175 4.9529 0.0000
3.8533 0.9179 0.0000
3.8533 4.9529 2.3607
4.9529 2.0175 2.3607
4.9529 3.8533 0.0000

No. 15
meta-GGA SCAN CaCr2P, PBEsol geometry; electronic total energy = -13.7825 eV/atom; total moment = 0.22 μB per atom; formation enthalpy at 0 K = 0.4253 eV per atom
1.0
2.5318 0.0000 0.0000
0.0000 4.7853 0.0000
0.0000 0.0000 9.7156
Ca Cr P
2 4 2
Cartesian
0.0000 0.0000 0.0000
1.2659 2.3927 4.8578
0.0000 2.3927 1.9771
0.0000 2.3927 7.7385
1.2659 0.0000 2.8807
1.2659 0.0000 6.8349
0.0000 0.0000 4.8578
1.2659 2.3927 0.0000

No. 16
meta-GGA SCAN TaCdRh, PBEsol geometry; electronic total energy = -42.6520 eV/atom; total moment = 0.00 μB per atom; formation enthalpy at 0 K = 0.9378 eV per atom
1.0
6.1165 0.0000 0.0000
0.0000 6.1165 0.0000
0.0000 0.0000 6.1165
Ta Cd Rh
4 4 4
Cartesian
0.0000 0.0000 0.0000
0.0000 3.0582 3.0582
3.0582 0.0000 3.0582
3.0582 3.0582 0.0000
1.5291 1.5291 4.5874
1.5291 4.5874 1.5291
4.5874 1.5291 1.5291
4.5874 4.5874 4.5874
0.0000 0.0000 3.0582
0.0000 3.0582 0.0000
3.0582 0.0000 0.0000
3.0582 3.0582 3.0582

No. 17
meta-GGA SCAN Sr2ScSi, PBEsol geometry; E_form (uncorrected) = -105 meV/atom; electronic total energy = -17.3056 eV/atom; total moment = 0.20 μB per atom
1.0
3.9505 0.0000 0.0000
0.0000 5.4239 0.0000
0.0000 0.0000 11.5148
Sr Sc Si
4 2 2
Cartesian
0.0000 0.0000 0.0000
0.0000 2.7120 2.2666
1.9753 0.0000 8.0239
1.9753 2.7120 5.7574
0.0000 2.7120 9.3570
1.9753 0.0000 3.5996
0.0000 0.0000 5.3886
1.9753 2.7120 11.1460

No. 18
meta-GGA SCAN La3Mg, PBEsol geometry; electronic total energy = -33.6201 eV/atom; total moment = 0.01 μB per atom; formation enthalpy at 0 K = -0.0479 eV per atom
1.0
3.6415 0.0000 0.0000
0.0000 11.4351 0.0000
0.0000 0.0000 6.1196
La Mg
6 2
Cartesian
0.0000 0.0000 0.0000
0.0000 2.6895 3.8846
0.0000 8.7456 3.8846
1.8208 3.0280 0.8248
1.8208 5.7175 3.0598
1.8208 8.4070 0.8248
0.0000 5.7175 6.0150
1.8208 0.0000 2.9552

No. 19
meta-GGA SCAN Tc2MoPb, PBEsol geometry; electronic total energy = -44.6487 eV/atom; total moment = 0.00 μB per atom; formation enthalpy at 0 K = 0.5479 eV per atom
1.0
2.9205 0.0000 0.0000
0.0000 4.0994 0.0000
-0.7759 0.0000 5.6133
Tc Mo Pb
2 1 1
Cartesian
0.1062 0.0000 1.6247
2.0384 0.0000 3.9886
1.0723 2.0497 2.8066
1.4602 2.0497 0.0000

No. 20
meta-GGA SCAN Ca4Mg3Si8NiO24, PBEsol geometry; E_form (uncorrected) = -3129 meV/atom; electronic total energy = -10.6144 eV/atom; total moment = 0.05 μB per atom
1.0
5.2533 0.0000 0.0000
0.0000 8.8818 0.0000
-2.5766 0.0000 9.4017
Ca Mg Si Ni O
4 3 8 1 24
Cartesian
0.0000 0.0000 0.0000
-1.2883 0.8807 4.7008
1.3383 4.4087 4.7008
2.6266 5.3147 0.0000
0.0000 3.4395 0.0000
-1.2883 6.2777 4.7008
1.3383 7.8896 4.7008
0.4645 6.2539 2.0056
-0.8199 3.4729 6.7112
-0.4125 7.9336 7.3962
0.8795 1.8018 2.6938
1.7972 1.8018 6.7079
3.0891 7.9336 2.0054
3.4966 3.4729 2.6905
2.2121 6.2539 7.3961
2.6266 1.8362 0.0000
-0.3429 2.8081 3.3004
-1.6348 6.9325 8.0076
0.7432 4.8496 1.2926
-0.5382 4.8791 6.0016
-0.4162 7.8760 5.7835
0.8803 1.8619 1.0789
0.4659 6.2982 3.6190
-0.8159 3.4229 8.3263
-0.7038 0.4650 8.0971
0.5871 0.3993 3.4030
0.3926 2.4698 6.0877
1.6844 7.2589 1.3920
0.9923 7.2589 8.0097
2.2840 2.4698 3.3140
2.0896 0.3993 5.9987
3.3805 0.4650 1.3046
3.4926 3.4229 1.0754
2.2108 6.2982 5.7827
1.7964 1.8619 8.3228
3.0929 7.8760 3.6182
3.2149 4.8791 3.4001
1.9334 4.8496 8.1091
3.0195 2.8081 6.1013
4.3114 6.9325 1.3941